No. 1
This record from the Open Quantum Materials Database describes an optimized crystal structure of Nb2CoIr5. The functional is PBE.

Lattice parameters (Å, degrees): 4.4360 5.5405 9.5791 90.00 90.00 90.00
Positions (direct):
Nb: 0.0000 0.0000 0.0000
Nb: 0.0000 0.5000 0.5000
Nb: 0.5000 0.0000 0.3361
Nb: 0.5000 0.5000 0.8361
Co: 0.5000 0.0000 0.8320
Co: 0.5000 0.5000 0.3320
Ir: 0.0000 0.0000 0.5065
Ir: 0.0000 0.2410 0.7540
Ir: 0.0000 0.2590 0.2540
Ir: 0.0000 0.5000 0.0065
Ir: 0.0000 0.7410 0.2540
Ir: 0.0000 0.7590 0.7540
Ir: 0.5000 0.2463 0.5884
Ir: 0.5000 0.2537 0.0884
Ir: 0.5000 0.7463 0.0884
Ir: 0.5000 0.7537 0.5884

Properties
Calculated formation energy (eV/f.u.): -4.16
Total energy (eV per cell): -151.467
Symmetry: No. 38
Crystal system: orthorhombic

No. 2
This record from the Open Quantum Materials Database describes an optimized crystal structure of LuMgIrPb. The functional is PBE.

Lattice parameters (Å, degrees): 6.8466 6.8466 6.8466 90.00 90.00 90.00
Positions (direct):
Lu: 0.0000 0.0000 0.0000
Lu: 0.0000 0.5000 0.5000
Lu: 0.5000 0.0000 0.5000
Lu: 0.5000 0.5000 0.0000
Mg: 0.2500 0.2500 0.2500
Mg: 0.2500 0.7500 0.7500
Mg: 0.7500 0.2500 0.7500
Mg: 0.7500 0.7500 0.2500
Ir: 0.0000 0.0000 0.5000
Ir: 0.0000 0.5000 0.0000
Ir: 0.5000 0.0000 0.0000
Ir: 0.5000 0.5000 0.5000
Pb: 0.2500 0.2500 0.7500
Pb: 0.2500 0.7500 0.2500
Pb: 0.7500 0.2500 0.2500
Pb: 0.7500 0.7500 0.7500

Properties
Total energy (eV per cell): -77.318
Symmetry: No. 216
Distance to the lowest polymorph of the same formula (eV per atom): 0.128
Crystal system: cubic

No. 3
This record from the Open Quantum Materials Database describes an optimized crystal structure of PrGdAsO. The functional is PBE.

Lattice parameters (Å, degrees): 4.3409 4.3409 9.3051 90.00 90.00 90.00
Positions (direct):
Pr: 0.2500 0.7500 0.0000
Pr: 0.7500 0.2500 0.0000
Gd: 0.2500 0.2500 0.4022
Gd: 0.7500 0.7500 0.5978
As: 0.2500 0.2500 0.7805
As: 0.7500 0.7500 0.2195
O: 0.2500 0.7500 0.5000
O: 0.7500 0.2500 0.5000

Properties
Total energy (eV per cell): -52.420
Symmetry: No. 129
Distance to the lowest polymorph of the same formula (eV per atom): 0.155
Crystal system: tetragonal

No. 4
This record from the Open Quantum Materials Database describes an optimized crystal structure of ZrBeBi. The functional is PBE.

Lattice parameters (Å, degrees): 6.6655 6.6655 6.6655 90.00 90.00 90.00
Positions (direct):
Zr: 0.0000 0.0000 0.0000
Zr: 0.0000 0.5000 0.5000
Zr: 0.5000 0.0000 0.5000
Zr: 0.5000 0.5000 0.0000
Be: 0.2500 0.2500 0.7500
Be: 0.2500 0.7500 0.2500
Be: 0.7500 0.2500 0.2500
Be: 0.7500 0.7500 0.7500
Bi: 0.2500 0.2500 0.2500
Bi: 0.2500 0.7500 0.7500
Bi: 0.7500 0.2500 0.7500
Bi: 0.7500 0.7500 0.2500

Properties
Total energy (eV per cell): -57.944
Symmetry: No. 216
Distance to the lowest polymorph of the same formula (eV per atom): 0.253
Crystal system: cubic

No. 5
This record from the Open Quantum Materials Database describes an optimized crystal structure of BaTaAl. The functional is PBE.

Lattice parameters (Å, degrees): 7.1214 7.1214 7.1214 90.00 90.00 90.00
Positions (direct):
Ba: 0.0000 0.0000 0.0000
Ba: 0.0000 0.5000 0.5000
Ba: 0.5000 0.0000 0.5000
Ba: 0.5000 0.5000 0.0000
Ta: 0.0000 0.0000 0.5000
Ta: 0.0000 0.5000 0.0000
Ta: 0.5000 0.0000 0.0000
Ta: 0.5000 0.5000 0.5000
Al: 0.2500 0.2500 0.2500
Al: 0.2500 0.7500 0.7500
Al: 0.7500 0.2500 0.7500
Al: 0.7500 0.7500 0.2500

Properties
Total energy (eV per cell): -55.980
Symmetry: No. 216
Distance to the lowest polymorph of the same formula (eV per atom): 0.000
Crystal system: cubic

No. 6
This record from the Open Quantum Materials Database describes an optimized crystal structure of YPaNO. The functional is PBE.

Lattice parameters (Å, degrees): 3.9428 3.9428 8.4404 90.00 90.00 90.00
Positions (direct):
Y: 0.2500 0.7500 0.0000
Y: 0.7500 0.2500 0.0000
Pa: 0.2500 0.2500 0.3441
Pa: 0.7500 0.7500 0.6559
N: 0.2500 0.2500 0.8125
N: 0.7500 0.7500 0.1875
O: 0.2500 0.7500 0.5000
O: 0.7500 0.2500 0.5000

Properties
Total energy (eV per cell): -65.844
Symmetry: No. 129
Distance to the lowest polymorph of the same formula (eV per atom): 0.605
Crystal system: tetragonal

No. 7
This record from the Open Quantum Materials Database describes an optimized crystal structure of SrPrTm. The functional is PBE.

Lattice parameters (Å, degrees): 8.1723 8.1723 8.1723 90.00 90.00 90.00
Positions (direct):
Sr: 0.0000 0.0000 0.0000
Sr: 0.0000 0.5000 0.5000
Sr: 0.5000 0.0000 0.5000
Sr: 0.5000 0.5000 0.0000
Pr: 0.0000 0.0000 0.5000
Pr: 0.0000 0.5000 0.0000
Pr: 0.5000 0.0000 0.0000
Pr: 0.5000 0.5000 0.5000
Tm: 0.2500 0.2500 0.7500
Tm: 0.2500 0.7500 0.2500
Tm: 0.7500 0.2500 0.2500
Tm: 0.7500 0.7500 0.7500

Properties
Total energy (eV per cell): -34.609
Symmetry: No. 216
Distance to the lowest polymorph of the same formula (eV per atom): 0.000
Crystal system: cubic

No. 8
This record from the Open Quantum Materials Database describes an optimized crystal structure of CsZrCu3S4. The functional is PBE.

Lattice parameters (Å, degrees): 5.7435 7.5864 10.0847 90.00 105.21 90.00
Positions (direct):
Cs: 0.2013 0.2500 0.3764
Cs: 0.7987 0.7500 0.6236
Zr: 0.1418 0.2500 0.7888
Zr: 0.8582 0.7500 0.2112
Cu: 0.2735 0.5156 0.0047
Cu: 0.2735 0.9844 0.0047
Cu: 0.3603 0.7500 0.2095
Cu: 0.6397 0.2500 0.7905
Cu: 0.7265 0.0156 0.9953
Cu: 0.7265 0.4844 0.9953
S: 0.0149 0.2500 0.0037
S: 0.2101 0.7500 0.4002
S: 0.4023 0.5074 0.7990
S: 0.4023 0.9926 0.7990
S: 0.5977 0.0074 0.2010
S: 0.5977 0.4926 0.2010
S: 0.7899 0.2500 0.5998
S: 0.9851 0.7500 0.9963

Properties
Total energy (eV per cell): -89.438
Symmetry: No. 11
Distance to the lowest polymorph of the same formula (eV per atom): 0.000
Crystal system: monoclinic